# GGA-PBE Nd12Si6Hg, relaxed
data_Nd12Si6Hg
_cell_length_a 8.906
_cell_length_b 8.906
_cell_length_c 8.906
_cell_angle_alpha 109.47
_cell_angle_beta 109.47
_cell_angle_gamma 109.47
_symmetry_space_group_name_H-M 'P 1'
_symmetry_Int_Tables_number 1
loop_
_symmetry_equiv_pos_as_xyz
'x,y,z'
loop_
_atom_site_label
_atom_site_fract_x
_atom_site_fract_y
_atom_site_fract_z
Nd1 0.108 0.296 0.812
Nd2 0.188 0.484 0.296
Nd3 0.188 0.892 0.704
Nd4 0.296 0.188 0.484
Nd5 0.296 0.812 0.108
Nd6 0.484 0.296 0.188
Nd7 0.516 0.704 0.812
Nd8 0.704 0.188 0.892
Nd9 0.704 0.812 0.516
Nd10 0.812 0.108 0.296
Nd11 0.812 0.516 0.704
Nd12 0.892 0.704 0.188
Si1 0.114 0.500 0.614
Si2 0.386 0.886 0.500
Si3 0.500 0.386 0.886
Si4 0.500 0.614 0.114
Si5 0.614 0.114 0.500
Si6 0.886 0.500 0.386
Hg1 0.000 0.000 0.000
# formation energy without anion corrections = -500 meV per atom
# symmetry = Im-3 (204)
# electronic total energy = -99.55 eV per cell
# crystal system = cubic